Crystalline Zr2ScPd2 at its relaxed geometry. Source: the Alexandria database, functional PBE.

Lattice parameters (Å, degrees): 4.647 4.647 10.342 90.00 90.00 90.00
Sites, in units of the cell vectors:
Zr: 0.000 0.500 0.250
Zr: 0.000 0.500 0.750
Zr: 0.500 0.000 0.250
Zr: 0.500 0.000 0.750
Sc: 0.000 0.000 0.000
Sc: 0.500 0.500 0.500
Pd: 0.000 0.000 0.378
Pd: 0.000 0.000 0.622
Pd: 0.500 0.500 0.122
Pd: 0.500 0.500 0.878

Formation energy in kJ/mol of formula units: -153
Density of states at the Fermi level in states/eV/cell: 9.65
SG: No. 139

Crystalline Dy5Tl2Ru at its relaxed geometry. Source: the Alexandria database, functional PBE.

Lattice parameters (Å, degrees): 7.738 12.140 4.661 90.00 90.00 90.00
Sites, in units of the cell vectors:
Dy: 0.000 0.000 0.000
Dy: 0.140 0.297 0.000
Dy: 0.182 0.572 0.500
Dy: 0.318 0.072 0.500
Dy: 0.360 0.797 0.000
Dy: 0.500 0.500 0.000
Dy: 0.640 0.203 0.000
Dy: 0.682 0.928 0.500
Dy: 0.818 0.428 0.500
Dy: 0.860 0.703 0.000
Tl: 0.075 0.832 0.500
Tl: 0.425 0.332 0.500
Tl: 0.575 0.668 0.500
Tl: 0.925 0.168 0.500
Ru: 0.000 0.500 0.000
Ru: 0.500 0.000 0.000

Formation energy in kJ/mol of formula units: -263
Density of states at the Fermi level in states/eV/cell: 13.60
SG: No. 55

Crystalline LuScGa2 at its relaxed geometry. Source: the Alexandria database, functional PBE.

Lattice parameters (Å, degrees): 3.443 3.443 25.716 90.00 90.00 120.00
Sites, in units of the cell vectors:
Lu: 0.000 0.000 0.000
Lu: 0.333 0.667 0.667
Lu: 0.667 0.333 0.333
Sc: 0.000 0.000 0.500
Sc: 0.333 0.667 0.167
Sc: 0.667 0.333 0.833
Ga: 0.000 0.000 0.247
Ga: 0.000 0.000 0.753
Ga: 0.333 0.667 0.419
Ga: 0.333 0.667 0.914
Ga: 0.667 0.333 0.086
Ga: 0.667 0.333 0.581

Formation energy in kJ/mol of formula units: -162
Density of states at the Fermi level in states/eV/cell: 5.95
SG: No. 166

Crystalline Te2IrW at its relaxed geometry. Source: the Alexandria database, functional PBE.

Lattice parameters (Å, degrees): 3.077 3.077 9.521 90.00 90.00 90.00
Sites, in units of the cell vectors:
Te: 0.000 0.000 0.000
Te: 0.500 0.500 0.400
Ir: 0.500 0.500 0.766
W: 0.000 0.000 0.598

Formation energy (no corrections) in meV/atom: 242
Density of states at the Fermi level in states/eV/cell: 1.81
SG: No. 99

Crystalline KLiCo2 at its relaxed geometry. Source: the Alexandria database, functional PBE.

Lattice parameters (Å, degrees): 3.901 3.901 19.533 90.00 90.00 120.00
Sites, in units of the cell vectors:
K: 0.000 0.000 0.000
K: 0.333 0.667 0.667
K: 0.667 0.333 0.333
Li: 0.000 0.000 0.806
Li: 0.333 0.667 0.473
Li: 0.667 0.333 0.140
Co: 0.000 0.000 0.203
Co: 0.000 0.000 0.536
Co: 0.333 0.667 0.203
Co: 0.333 0.667 0.870
Co: 0.667 0.333 0.536
Co: 0.667 0.333 0.869

Formation energy in kJ/mol of formula units: 184
Density of states at the Fermi level in states/eV/cell: 7.89
SG: No. 160

Crystalline MnTc2Rh at its relaxed geometry. Source: the Alexandria database, functional PBE.

Lattice parameters (Å, degrees): 3.648 3.648 18.417 90.00 90.00 90.00
Sites, in units of the cell vectors:
Mn: 0.000 0.000 0.000
Mn: 0.000 0.500 0.250
Mn: 0.500 0.000 0.750
Mn: 0.500 0.500 0.500
Tc: 0.226 0.250 0.125
Tc: 0.250 0.726 0.375
Tc: 0.250 0.774 0.875
Tc: 0.274 0.250 0.625
Tc: 0.726 0.750 0.625
Tc: 0.750 0.226 0.875
Tc: 0.750 0.274 0.375
Tc: 0.774 0.750 0.125
Rh: 0.000 0.000 0.500
Rh: 0.000 0.500 0.750
Rh: 0.500 0.000 0.250
Rh: 0.500 0.500 0.000

Formation energy in kJ/mol of formula units: 178
Density of states at the Fermi level in states/eV/cell: 17.27
SG: No. 122

Crystalline Li3Np2PtSe6 at its relaxed geometry. Source: the Alexandria database, functional PBE.

Lattice parameters (Å, degrees): 6.755 6.755 6.929 99.04 99.04 119.98
Sites, in units of the cell vectors:
Li: 0.000 0.000 0.000
Li: 0.338 0.662 0.000
Li: 0.662 0.338 0.000
Np: 0.171 0.829 0.500
Np: 0.829 0.171 0.500
Pt: 0.500 0.500 0.500
Se: 0.090 0.410 0.240
Se: 0.271 0.271 0.740
Se: 0.410 0.090 0.240
Se: 0.590 0.910 0.760
Se: 0.729 0.729 0.260
Se: 0.910 0.590 0.760

Formation energy (no corrections) in meV/atom: -961
Density of states at the Fermi level in states/eV/cell: 18.69
SG: No. 12

Crystalline YMnAs2 at its relaxed geometry. Source: the Alexandria database, functional PBE.

Lattice parameters (Å, degrees): 3.949 3.949 18.100 90.00 90.00 120.00
Sites, in units of the cell vectors:
Y: 0.000 0.000 0.000
Y: 0.333 0.667 0.667
Y: 0.667 0.333 0.333
Mn: 0.000 0.000 0.500
Mn: 0.333 0.667 0.167
Mn: 0.667 0.333 0.833
As: 0.000 0.000 0.236
As: 0.000 0.000 0.764
As: 0.333 0.667 0.430
As: 0.333 0.667 0.903
As: 0.667 0.333 0.097
As: 0.667 0.333 0.570

Formation energy in kJ/mol of formula units: -270
Density of states at the Fermi level in states/eV/cell: 7.31
SG: No. 166

Crystalline MgSe at its relaxed geometry. Source: the Alexandria database, functional PBE.

Lattice parameters (Å, degrees): 6.000 6.000 6.000 90.00 90.00 90.00
Sites, in units of the cell vectors:
Mg: 0.000 0.000 0.000
Mg: 0.000 0.500 0.500
Mg: 0.500 0.000 0.500
Mg: 0.500 0.500 0.000
Se: 0.250 0.250 0.750
Se: 0.250 0.750 0.250
Se: 0.750 0.250 0.250
Se: 0.750 0.750 0.750

Formation energy (no corrections) in meV/atom: -1257
Density of states at the Fermi level in states/eV/cell: 0.00
SG: No. 216

Crystalline TbSmBi at its relaxed geometry. Source: the Alexandria database, functional PBE.

Lattice parameters (Å, degrees): 4.121 4.121 10.673 90.00 90.00 90.00
Sites, in units of the cell vectors:
Tb: 0.000 0.000 0.000
Tb: 0.500 0.500 0.500
Sm: 0.000 0.000 0.686
Sm: 0.500 0.500 0.186
Bi: 0.000 0.000 0.347
Bi: 0.500 0.500 0.847

Formation energy in kJ/mol of formula units: -141
Density of states at the Fermi level in states/eV/cell: 6.87
SG: No. 107

Crystalline NdBeH2O4 at its relaxed geometry. Source: the Alexandria database, functional PBE.

Lattice parameters (Å, degrees): 4.321 5.525 6.124 90.00 90.00 90.00
Sites, in units of the cell vectors:
Nd: 0.000 0.000 0.000
Nd: 0.500 0.500 0.500
Be: 0.000 0.000 0.500
Be: 0.500 0.500 0.000
H: 0.000 0.500 0.163
H: 0.000 0.500 0.837
H: 0.500 0.000 0.337
H: 0.500 0.000 0.663
O: 0.236 0.373 0.840
O: 0.236 0.627 0.160
O: 0.264 0.127 0.340
O: 0.264 0.873 0.660
O: 0.736 0.127 0.660
O: 0.736 0.873 0.340
O: 0.764 0.373 0.160
O: 0.764 0.627 0.840

Uncorrected energy in Ry per atom: -0.460
Density of states at the Fermi level in states/eV/cell: 4.47
SG: No. 23

Crystalline Pu2In3Pb3 at its relaxed geometry. Source: the Alexandria database, functional PBE.

Lattice parameters (Å, degrees): 4.710 4.914 9.284 90.00 90.00 90.00
Sites, in units of the cell vectors:
Pu: 0.000 0.000 0.250
Pu: 0.000 0.000 0.750
In: 0.000 0.500 0.000
In: 0.500 0.500 0.244
In: 0.500 0.500 0.756
Pb: 0.000 0.500 0.500
Pb: 0.500 0.000 0.000
Pb: 0.500 0.000 0.500

Formation energy in kJ/mol of formula units: -144
Density of states at the Fermi level in states/eV/cell: 22.43
SG: No. 47

Crystalline CaLaTeBr at its relaxed geometry. Source: the Alexandria database, functional PBE.

Lattice parameters (Å, degrees): 4.142 4.272 14.375 90.00 90.00 90.00
Sites, in units of the cell vectors:
Ca: 0.000 0.000 0.000
Ca: 0.500 0.500 0.500
La: 0.000 0.500 0.743
La: 0.500 0.000 0.243
Te: 0.000 0.500 0.336
Te: 0.500 0.000 0.836
Br: 0.000 0.000 0.577
Br: 0.500 0.500 0.077

Formation energy (no corrections) in meV/atom: -1347
Density of states at the Fermi level in states/eV/cell: 5.44
SG: No. 44

Crystalline BaGa12Ag4 at its relaxed geometry. Source: the Alexandria database, functional PBE.

Lattice parameters (Å, degrees): 7.903 7.903 7.903 109.47 109.47 109.47
Sites, in units of the cell vectors:
Ba: 0.000 0.000 0.000
Ga: 0.148 0.359 0.507
Ga: 0.148 0.641 0.790
Ga: 0.210 0.852 0.359
Ga: 0.359 0.210 0.852
Ga: 0.359 0.507 0.148
Ga: 0.493 0.852 0.641
Ga: 0.507 0.148 0.359
Ga: 0.641 0.493 0.852
Ga: 0.641 0.790 0.148
Ga: 0.790 0.148 0.641
Ga: 0.852 0.359 0.210
Ga: 0.852 0.641 0.493
Ag: 0.000 0.000 0.500
Ag: 0.000 0.500 0.000
Ag: 0.500 0.000 0.000
Ag: 0.500 0.500 0.500

Formation energy in kJ/mol of formula units: 21
Density of states at the Fermi level in states/eV/cell: 9.36
SG: No. 204

Crystalline Cd3Se at its relaxed geometry. Source: the Alexandria database, functional PBE.

Lattice parameters (Å, degrees): 7.277 7.277 7.277 90.00 90.00 90.00
Sites, in units of the cell vectors:
Cd: 0.000 0.000 0.000
Cd: 0.000 0.500 0.500
Cd: 0.250 0.250 0.250
Cd: 0.250 0.250 0.750
Cd: 0.250 0.750 0.250
Cd: 0.250 0.750 0.750
Cd: 0.500 0.000 0.500
Cd: 0.500 0.500 0.000
Cd: 0.750 0.250 0.250
Cd: 0.750 0.250 0.750
Cd: 0.750 0.750 0.250
Cd: 0.750 0.750 0.750
Se: 0.000 0.000 0.500
Se: 0.000 0.500 0.000
Se: 0.500 0.000 0.000
Se: 0.500 0.500 0.500

Formation energy (no corrections) in meV/atom: 67
Density of states at the Fermi level in states/eV/cell: 12.63
SG: No. 225